[1]
{"formula": "CaGaPd", "functional": "GGA-PBE", "state": "optimized geometry", "lattice_angstrom": [[3.0503, 0.0000, 0.0000], [0.0000, 3.0503, 0.0000], [-1.5251, -1.5251, 7.3122]], "species": ["Ca", "Ga", "Pd"], "fractional_positions": [[0.1274, 0.1274, 0.2548], [0.7787, 0.7787, 0.5574], [0.9439, 0.9439, 0.8877]], "crystal_system": "tetragonal", "space_group": "I4mm, No. 107"}

[2]
{"formula": "CaGa4Pd6", "functional": "GGA-PBE", "state": "optimized geometry", "lattice_angstrom": [[-3.3186, 0.7390, 1.9189], [-1.4303, -7.2413, 0.3153], [3.8492, 3.2439, 5.4076]], "species": ["Ca", "Ga", "Ga", "Ga", "Ga", "Pd", "Pd", "Pd", "Pd", "Pd", "Pd"], "fractional_positions": [[0.0000, 0.0000, 0.0000], [0.5000, 0.8006, 0.6012], [0.5000, 0.3988, 0.1994], [0.5000, 0.8006, 0.1994], [0.0000, 0.3333, 0.6667], [0.0000, 0.5332, 0.0663], [0.5000, 0.6031, 0.8015], [0.0000, 0.5332, 0.4668], [0.0000, 0.9337, 0.4668], [0.5000, 0.1985, 0.8015], [0.5000, 0.1985, 0.3969]], "de_polymorph_kj_per_mol_atoms": 0.0, "crystal_system": "hexagonal", "space_group": "P-6m2, No. 187"}

[3]
{"formula": "Ca2GaPd", "functional": "GGA-PBE", "state": "optimized geometry", "lattice_angstrom": [[4.4102, 0.0000, 0.0000], [2.2051, 3.8168, 0.0255], [2.2051, 1.2433, 6.9180]], "species": ["Ca", "Ca", "Ga", "Pd"], "fractional_positions": [[0.8900, 0.6538, 0.5663], [0.7154, 0.4775, 0.0916], [0.4699, 0.2329, 0.8272], [0.1350, 0.8978, 0.8323]], "crystal_system": "monoclinic", "space_group": "Cm, No. 8"}

[4]
{"formula": "Ca3Ga7Pd2", "functional": "GGA-PBE", "state": "optimized geometry", "lattice_angstrom": [[4.2900, 0.0000, 0.0000], [0.0000, 4.5572, -0.6769], [0.0000, -0.2368, 14.0909]], "species": ["Ca", "Ca", "Ca", "Ga", "Ga", "Ga", "Ga", "Ga", "Ga", "Ga", "Pd", "Pd"], "fractional_positions": [[0.5000, 0.5000, 0.0000], [0.5000, 0.7046, 0.4091], [0.5000, 0.2954, 0.5909], [0.0000, 0.3791, 0.7581], [0.0000, 0.8084, 0.6167], [0.0000, 0.0000, 0.0000], [0.0000, 0.6209, 0.2419], [0.5000, 0.1283, 0.2566], [0.5000, 0.8717, 0.7434], [0.0000, 0.1916, 0.3833], [0.0000, 0.9162, 0.8323], [0.0000, 0.0838, 0.1677]], "de_polymorph_kj_per_mol_atoms": 24.1, "crystal_system": "orthorhombic", "space_group": "Cmmm, No. 65"}

[5]
{"formula": "CaGa2Pd", "functional": "GGA-PBE", "state": "optimized geometry", "lattice_angstrom": [[-2.6873, -2.8785, 3.9854], [4.3566, -5.6238, -1.1243], [9.9298, 5.5520, 10.7057]], "species": ["Ca", "Ca", "Ca", "Ca", "Ca", "Ca", "Ca", "Ca", "Ga", "Ga", "Ga", "Ga", "Ga", "Ga", "Ga", "Ga", "Ga", "Ga", "Ga", "Ga", "Ga", "Ga", "Ga", "Ga", "Pd", "Pd", "Pd", "Pd", "Pd", "Pd", "Pd", "Pd"], "fractional_positions": [[0.4720, 0.2500, 0.1410], [0.9720, 0.7500, 0.3590], [0.5280, 0.7500, 0.8590], [0.0280, 0.2500, 0.6410], [0.7349, 0.2500, 0.3943], [0.2349, 0.7500, 0.1057], [0.2651, 0.7500, 0.6057], [0.7651, 0.2500, 0.8943], [0.9493, 0.0547, 0.2131], [0.4493, 0.9453, 0.2869], [0.0507, 0.5547, 0.7869], [0.5507, 0.4453, 0.7131], [0.0507, 0.9453, 0.7869], [0.5507, 0.0547, 0.7131], [0.9493, 0.4453, 0.2131], [0.4493, 0.5547, 0.2869], [0.7456, 0.5576, 0.0367], [0.2456, 0.4424, 0.4633], [0.2544, 0.0576, 0.9633], [0.7544, 0.9424, 0.5367], [0.2544, 0.4424, 0.9633], [0.7544, 0.5576, 0.5367], [0.7456, 0.9424, 0.0367], [0.2456, 0.0576, 0.4633], [0.2162, 0.2500, 0.3177], [0.7162, 0.7500, 0.1823], [0.7838, 0.7500, 0.6823], [0.2838, 0.2500, 0.8177], [0.9853, 0.2500, 0.0714], [0.4853, 0.7500, 0.4286], [0.0147, 0.7500, 0.9286], [0.5147, 0.2500, 0.5714]], "crystal_system": "orthorhombic", "space_group": "Pnma, No. 62"}

[6]
{"formula": "Ca3Ga2Pd5", "functional": "GGA-PBE", "state": "optimized geometry", "lattice_angstrom": [[-1.1181, -2.9771, -2.0923], [6.1266, -6.0909, 5.3927], [-7.5653, -1.7835, 6.5804]], "species": ["Ca", "Ca", "Ca", "Ca", "Ca", "Ca", "Ga", "Ga", "Ga", "Ga", "Pd", "Pd", "Pd", "Pd", "Pd", "Pd", "Pd", "Pd", "Pd", "Pd"], "fractional_positions": [[0.0000, 0.3238, 0.8238], [0.0000, 0.6762, 0.1762], [0.0000, 0.1762, 0.3238], [0.0000, 0.8238, 0.6762], [0.0000, 0.0000, 0.0000], [0.0000, 0.5000, 0.5000], [0.0000, 0.1191, 0.6191], [0.0000, 0.8809, 0.3809], [0.0000, 0.3809, 0.1191], [0.0000, 0.6191, 0.8809], [0.5000, 0.2195, 0.0704], [0.5000, 0.7805, 0.9296], [0.5000, 0.9296, 0.2195], [0.5000, 0.0704, 0.7805], [0.5000, 0.2805, 0.5704], [0.5000, 0.7195, 0.4296], [0.5000, 0.5704, 0.7195], [0.5000, 0.4296, 0.2805], [0.5000, 0.0000, 0.5000], [0.5000, 0.5000, 0.0000]], "crystal_system": "tetragonal", "space_group": "P4/mbm, No. 127"}

no.,ΔH_f (0 K) (kcal/mol of atoms)
1,3.22
2,-16.98
3,-12.66
4,-7.01
5,-15.05
6,-16.35